A relaxed Sr2AlBr crystal. Source: Alexandria, functional PBE-GGA.

Structure (POSCAR):
```
Sr2AlBr
1.0
9.1667 0.0010 0.0094
7.3593 5.4653 -0.0094
-8.2353 -2.8170 2.8764
Sr Al Br
2 1 1
Direct
0.0417 0.0417 0.0000
0.8049 0.3049 0.5000
0.4483 0.4483 0.0000
0.2050 0.7050 0.5000
```

Values from the calculation:
The value obtained for the energy relative to the elements, uncorrected is -679 meV per atom. Its crystal system is orthorhombic. Its space group is Imm2 (44). Its energy above the most stable polymorph in this dataset is 0.1212 eV/atom.


A relaxed GdMg4Ag crystal. Source: Alexandria, functional PBE-GGA.

Structure (POSCAR):
```
GdMg4Ag
1.0
-2.0160 4.5463 3.1232
-5.7054 0.3353 1.3504
-1.7563 -0.7965 5.5469
Gd Mg Ag
1 4 1
Direct
0.2500 0.2500 0.2500
0.1257 0.6248 0.6248
0.6248 0.6248 0.6248
0.6248 0.1257 0.6248
0.6248 0.6248 0.1257
0.0000 0.0000 0.0000
```

Values from the calculation:
Its crystal system is cubic. The value obtained for the energy relative to the elements is 0.053 eV/atom. Its space group is F-43m (216).


A relaxed LaPmThPb crystal. Source: Alexandria, functional PBE-GGA.

Structure (POSCAR):
```
LaPmThPb
1.0
5.6380 0.0000 0.0000
2.8190 4.8826 0.0000
2.8190 1.6275 4.6034
Pm La Pb Th
1 1 1 1
Direct
0.7500 0.7500 0.7500
0.2500 0.2500 0.2500
0.5000 0.5000 0.5000
0.0000 0.0000 0.0000
```

Values from the calculation:
Its crystal system is cubic. The value obtained for the energy relative to the elements is -0.071 eV/atom. Its space group is F-43m (216).


A relaxed Ac2ErAl crystal. Source: Alexandria, functional PBE-GGA.

Structure (POSCAR):
```
Ac2ErAl
1.0
-4.6374 1.8351 0.2562
-1.4946 -4.1520 2.6871
1.2004 2.4186 4.4049
Er Ac Al
1 2 1
Direct
0.5000 0.5000 0.5000
0.0000 0.0000 0.5000
0.0000 0.5000 0.0000
0.5000 0.0000 0.0000
```

Values from the calculation:
Its crystal system is tetragonal. The value obtained for the energy relative to the elements is -0.023 eV/atom. Its space group is P4/mmm (123). Its energy above the most stable polymorph in this dataset is 0.0200 eV/atom.


A relaxed CaInMo2 crystal. Source: Alexandria, functional PBE-GGA.

Structure (POSCAR):
```
CaInMo2
1.0
-5.2637 -0.8811 -1.8948
-0.3402 -3.4952 -4.4431
1.6567 0.4254 5.3989
In Mo Ca
1 2 1
Direct
0.2358 0.7358 0.5000
0.9642 0.9642 0.0000
0.7823 0.2823 0.5000
0.5178 0.5178 0.0000
```

Values from the calculation:
Its crystal system is orthorhombic. The value obtained for the energy relative to the elements is 0.389 eV/atom. Its space group is Imm2 (44).


A relaxed Li4Cd2Au crystal. Source: Alexandria, functional PBE-GGA.

Structure (POSCAR):
```
Li4Cd2Au
1.0
3.0171 0.0000 0.0000
0.0000 7.0648 -0.0749
-1.5086 -3.5160 6.3017
Au Li Cd
1 4 2
Direct
0.0000 0.0000 0.0000
0.0789 0.7239 0.1578
0.6250 0.3658 0.2500
0.3750 0.6342 0.7500
0.9211 0.2761 0.8422
0.2306 0.1745 0.4612
0.7694 0.8255 0.5388
```

Values from the calculation:
Its crystal system is monoclinic. The value obtained for the energy relative to the elements is -0.223 eV/atom. Its space group is C2/m (12). Its energy above the most stable polymorph in this dataset is 0.0000 eV/atom.


A relaxed RbLaPbS3 crystal. Source: Alexandria, functional PBE-GGA.

Structure (POSCAR):
```
RbLaPbS3
1.0
-3.8430 -1.0009 1.4962
0.6054 -7.6032 -3.5311
4.9039 -0.9606 11.9534
S Rb Pb La
6 2 2 2
Direct
0.7500 0.8876 0.2193
0.2500 0.6023 0.9128
0.7500 0.3922 0.6420
0.2500 0.1124 0.7807
0.2500 0.6078 0.3580
0.7500 0.3977 0.0872
0.7500 0.7994 0.7861
0.2500 0.2006 0.2139
0.7500 0.8183 0.4094
0.2500 0.1817 0.5906
0.2500 0.6405 0.1390
0.7500 0.3595 0.8610
```

Values from the calculation:
The value obtained for the energy relative to the elements, uncorrected is -1383 meV per atom. Its crystal system is monoclinic. Its space group is P2_1/m (11).


A relaxed Ac6Nd2Er crystal. Source: Alexandria, functional PBE-GGA.

Structure (POSCAR):
```
Ac6Nd2Er
1.0
10.2441 0.0000 0.0000
0.0000 6.7270 -0.3213
0.0000 0.6646 10.8128
Ac Er Nd
12 2 4
Direct
0.7116 0.6459 0.6484
0.3463 0.8515 0.5166
0.1202 0.8491 0.2048
0.3798 0.3491 0.7048
0.8798 0.1509 0.7952
0.1537 0.3515 0.0166
0.6202 0.6509 0.2952
0.7884 0.1459 0.1484
0.2116 0.8541 0.8516
0.6537 0.1485 0.4834
0.8463 0.6485 0.9834
0.2884 0.3541 0.3516
0.0000 0.0000 0.5000
0.5000 0.5000 0.0000
0.0678 0.5121 0.6378
0.4322 0.0121 0.1378
0.9322 0.4879 0.3622
0.5678 0.9879 0.8622
```

Values from the calculation:
Its crystal system is monoclinic. The value obtained for the energy relative to the elements is 0.134 eV/atom. Its space group is P2_1/c (14).